A plane-wave DFT calculation with PBE was carried out for a geometry-optimized Ba2As3PdPt4 structure.

a b c (Å): 4.571 4.571 10.254
angles (deg): 90.00 90.00 90.00
Space group P-4m2 (No. 115)
Inequivalent atoms, fractional coordinates:
Ba  0.000  0.500  0.243 x2
As  0.000  0.000  0.000 x1
As  0.000  0.500  0.623 x2
Pd  0.500  0.500  0.000 x1
Pt  0.000  0.000  0.500 x1
Pt  0.000  0.500  0.868 x2
Pt  0.500  0.500  0.500 x1

## Properties
Magnetization ... 0.000 μB/f.u.
VASP energy ... -5.3769 eV/atom
Energy relative to the elements ... -0.662 eV per atom

=====

A plane-wave DFT calculation with PBE was carried out for a geometry-optimized ZnCuAu2 structure.

a b c (Å): 4.586 5.818 4.683
angles (deg): 90.00 90.00 90.00
Space group Pmmn (No. 59, origin choice 2)
Inequivalent atoms, fractional coordinates:
Zn  0.250  0.250  0.199 x2
Cu  0.250  0.750  0.204 x2
Au  0.250  0.000  0.708 x4

## Properties
Magnetization ... 0.000 μB/f.u.
VASP energy ... -3.1281 eV/atom
Energy relative to the elements ... -0.147 eV per atom

=====

A plane-wave DFT calculation with PBE was carried out for a geometry-optimized Mg4Cd3Rh2 structure.

a b c (Å): 4.162 4.944 8.959
angles (deg): 102.51 90.05 114.81
Space group P-1 (No. 2)
Inequivalent atoms, fractional coordinates:
Mg  0.008  0.015  0.319 x2
Mg  0.331  0.662  0.111 x2
Cd  0.000  0.000  0.000 x1
Cd  0.333  0.666  0.438 x2
Rh  0.329  0.657  0.784 x2

## Properties
Magnetization ... 0.000 μB/f.u.
VASP energy ... -2.9096 eV/atom
Energy relative to the elements ... -0.262 eV per atom

=====

A plane-wave DFT calculation with PBE was carried out for a geometry-optimized Ta2VPtC structure.

a b c (Å): 4.292 4.292 3.925
angles (deg): 90.00 90.00 90.00
Space group P4/mmm (No. 123)
Inequivalent atoms, fractional coordinates:
Ta  0.000  0.500  0.000 x2
V  0.000  0.000  0.500 x1
Pt  0.500  0.500  0.500 x1
C  0.000  0.000  0.000 x1

## Properties
Magnetization ... 0.001 μB/f.u.
VASP energy ... -10.0828 eV/atom
Energy relative to the elements ... -0.465 eV per atom

=====

A plane-wave DFT calculation with PBE was carried out for a geometry-optimized RbPmGe2 structure.

a b c (Å): 4.024 4.024 7.690
angles (deg): 90.00 90.00 90.00
Space group P4/mmm (No. 123)
Inequivalent atoms, fractional coordinates:
Rb  0.000  0.000  0.000 x1
Pm  0.000  0.000  0.500 x1
Ge  0.500  0.500  0.337 x2

## Properties
Magnetization ... 0.000 μB/f.u.
VASP energy ... -4.1412 eV/atom
Energy relative to the elements ... -0.403 eV per atom

=====

A plane-wave DFT calculation with PBE was carried out for a geometry-optimized Nb2FeNi structure.

a b c (Å): 6.170 6.170 6.170
angles (deg): 90.00 90.00 90.00
Space group Fm-3m (No. 225)
Inequivalent atoms, fractional coordinates:
Nb  0.250  0.250  0.250 x8
Fe  0.000  0.000  0.000 x4
Ni  0.000  0.000  0.500 x4

## Properties
Magnetization ... 0.750 μB/f.u.
VASP energy ... -8.6170 eV/atom
Polymorph energy (0 for the lowest one) ... 22 meV/atom
Energy relative to the elements ... -0.021 eV per atom

=====

A plane-wave DFT calculation with PBE was carried out for a geometry-optimized LiDy2HoSe5 structure.

a b c (Å): 4.049 16.948 12.359
angles (deg): 90.00 90.00 90.00
Space group Cmc2_1 (No. 36)
Inequivalent atoms, fractional coordinates:
Li  0.000  0.013  0.000 x4
Dy  0.000  0.375  0.811 x4
Dy  0.000  0.393  0.203 x4
Ho  0.000  0.304  0.520 x4
Se  0.000  0.000  0.304 x4
Se  0.000  0.138  0.520 x4
Se  0.000  0.193  0.859 x4
Se  0.000  0.215  0.182 x4
Se  0.000  0.454  0.595 x4

## Properties
Magnetization ... 0.000 μB/f.u.
VASP energy ... -5.3667 eV/atom
ΔE_f (raw) ... -1.687 eV/atom

=====

A plane-wave DFT calculation with PBE was carried out for a geometry-optimized Th4Ir2PtS structure.

a b c (Å): 7.233 4.113 7.282
angles (deg): 90.00 108.73 90.00
Space group P2/m (No. 10)
Inequivalent atoms, fractional coordinates:
Th  0.246  0.000  0.236 x2
Th  0.250  0.500  0.763 x2
Ir  0.000  0.500  0.000 x1
Ir  0.500  0.000  0.000 x1
Pt  0.000  0.000  0.500 x1
S  0.500  0.500  0.500 x1

## Properties
Magnetization ... 0.000 μB/f.u.
VASP energy ... -8.4168 eV/atom
ΔE_f (raw) ... -1.221 eV/atom

=====

A plane-wave DFT calculation with PBE was carried out for a geometry-optimized CsNaThCl6 structure.

a b c (Å): 7.3363 7.3363 15.2198
angles (deg): 90.00 90.00 120.00
Space group P-31c (No. 163)
Inequivalent atoms, fractional coordinates:
Cs  0.0000  0.0000  0.0000 x2
Na  0.3333  0.6667  0.2500 x2
Th  0.3333  0.6667  0.7500 x2
Cl  0.0168  0.3823  0.6483 x12

## Properties
Magnetization ... 0.000 μB/f.u.
VASP energy ... -4.4027 eV/atom
ΔE_f (raw) ... -2.106 eV/atom

=====

A plane-wave DFT calculation with PBE was carried out for a geometry-optimized Cr2TcMo structure.

a b c (Å): 3.011 4.309 8.368
angles (deg): 90.00 90.00 90.00
Space group Cmm2 (No. 35)
Inequivalent atoms, fractional coordinates:
Cr  0.000  0.000  0.000 x2
Cr  0.000  0.500  0.224 x2
Tc  0.000  0.500  0.753 x2
Mo  0.000  0.000  0.478 x2

## Properties
Magnetization ... 0.000 μB/f.u.
VASP energy ... -10.0042 eV/atom
Polymorph energy (0 for the lowest one) ... 50 meV/atom
Energy relative to the elements ... 0.107 eV per atom

=====

A plane-wave DFT calculation with PBE was carried out for a geometry-optimized Ca3YPb2S structure.

a b c (Å): 5.178 5.254 16.386
angles (deg): 90.00 90.00 90.00
Space group Immm (No. 71)
Inequivalent atoms, fractional coordinates:
Ca  0.000  0.000  0.000 x2
Ca  0.000  0.500  0.324 x4
Y  0.000  0.000  0.500 x2
Pb  0.000  0.500  0.128 x4
S  0.000  0.500  0.500 x2

## Properties
Magnetization ... 0.000 μB/f.u.
VASP energy ... -4.3164 eV/atom
ΔE_f (raw) ... -0.886 eV/atom

=====

A plane-wave DFT calculation with PBE was carried out for a geometry-optimized Zr2CuHg structure.

a b c (Å): 3.455 3.455 6.681
angles (deg): 90.00 90.00 90.00
Space group P4mm (No. 99)
Inequivalent atoms, fractional coordinates:
Zr  0.000  0.000  0.000 x1
Zr  0.500  0.500  0.290 x1
Cu  0.000  0.000  0.512 x1
Hg  0.500  0.500  0.737 x1

## Properties
Magnetization ... 0.000 μB/f.u.
VASP energy ... -5.4743 eV/atom
Energy relative to the elements ... -0.101 eV per atom

=====

A plane-wave DFT calculation with PBE was carried out for a geometry-optimized LiPmRhPb structure.

a b c (Å): 6.888 6.888 6.888
angles (deg): 90.00 90.00 90.00
Space group F-43m (No. 216)
Inequivalent atoms, fractional coordinates:
Li  0.000  0.000  0.000 x4
Pm  0.250  0.250  0.250 x4
Rh  0.000  0.000  0.500 x4
Pb  0.250  0.250  0.750 x4

## Properties
Magnetization ... 0.000 μB/f.u.
VASP energy ... -4.9267 eV/atom
Energy relative to the elements ... -0.496 eV per atom

=====

A plane-wave DFT calculation with PBE was carried out for a geometry-optimized NdTm2AgHg4 structure.

a b c (Å): 5.0472 5.0472 26.8905
angles (deg): 90.00 90.00 120.00
Space group R-3m (No. 166, hexagonal axes)
Inequivalent atoms, fractional coordinates:
Nd  0.0000  0.0000  0.0000 x3
Tm  0.0000  0.0000  0.2392 x6
Ag  0.0000  0.0000  0.5000 x3
Hg  0.0000  0.0000  0.1254 x6
Hg  0.0000  0.0000  0.3820 x6

## Properties
Magnetization ... 0.000 μB/f.u.
VASP energy ... -2.5868 eV/atom
Energy relative to the elements ... -0.366 eV per atom

=====

A plane-wave DFT calculation with PBE was carried out for a geometry-optimized Ac3PtBr3 structure.

a b c (Å): 9.623 4.352 13.103
angles (deg): 90.00 93.05 90.00
Space group P2_1/m (No. 11)
Inequivalent atoms, fractional coordinates:
Ac  0.086  0.250  0.386 x2
Ac  0.145  0.250  0.859 x2
Ac  0.339  0.750  0.629 x2
Pt  0.130  0.250  0.630 x2
Br  0.102  0.250  0.112 x2
Br  0.376  0.750  0.379 x2
Br  0.390  0.750  0.880 x2

## Properties
Magnetization ... 0.000 μB/f.u.
VASP energy ... -4.8477 eV/atom
ΔE_f (raw) ... -1.507 eV/atom

=====

A plane-wave DFT calculation with PBE was carried out for a geometry-optimized Nd8Se4S3Cl structure.

a b c (Å): 8.3223 8.3223 20.3667
angles (deg): 90.00 90.00 120.00
Space group R-3m (No. 166, hexagonal axes)
Inequivalent atoms, fractional coordinates:
Nd  0.0000  0.0000  0.2424 x6
Nd  0.0170  0.5085  0.7543 x18
Se  0.0000  0.0000  0.0000 x3
Se  0.0000  0.5000  0.0000 x9
S  0.0000  0.5000  0.5000 x9
Cl  0.0000  0.0000  0.5000 x3

## Properties
Magnetization ... 0.000 μB/f.u.
VASP energy ... -5.9921 eV/atom
ΔE_f (raw) ... -1.848 eV/atom

=====

A plane-wave DFT calculation with PBE was carried out for a geometry-optimized Li2FeRu structure.

a b c (Å): 3.173 3.173 5.038
angles (deg): 90.00 90.00 90.00
Space group P4/mmm (No. 123)
Inequivalent atoms, fractional coordinates:
Li  0.000  0.000  0.247 x2
Fe  0.500  0.500  0.500 x1
Ru  0.500  0.500  0.000 x1

## Properties
Magnetization ... 3.560 μB/f.u.
VASP energy ... -4.9102 eV/atom
Polymorph energy (0 for the lowest one) ... 329 meV/atom
Energy relative to the elements ... 0.481 eV per atom

=====

A plane-wave DFT calculation with PBE was carried out for a geometry-optimized KBa2Se structure.

a b c (Å): 8.914 8.914 8.914
angles (deg): 90.00 90.00 90.00
Space group F-43m (No. 216)
Inequivalent atoms, fractional coordinates:
K  0.000  0.000  0.000 x4
Ba  0.000  0.000  0.500 x4
Ba  0.250  0.250  0.750 x4
Se  0.250  0.250  0.250 x4

## Properties
Magnetization ... 0.028 μB/f.u.
VASP energy ... -2.2813 eV/atom
ΔE_f (raw) ... -0.174 eV/atom

=====

A plane-wave DFT calculation with PBE was carried out for a geometry-optimized Sm2Si4NiPt3 structure.

a b c (Å): 4.195 4.195 9.852
angles (deg): 90.00 90.00 90.00
Space group P-4m2 (No. 115)
Inequivalent atoms, fractional coordinates:
Sm  0.000  0.500  0.248 x2
Si  0.000  0.000  0.500 x1
Si  0.000  0.500  0.874 x2
Si  0.500  0.500  0.500 x1
Ni  0.500  0.500  0.000 x1
Pt  0.000  0.000  0.000 x1
Pt  0.000  0.500  0.626 x2

## Properties
Magnetization ... 0.000 μB/f.u.
VASP energy ... -6.5476 eV/atom
ΔE_f (raw) ... -1.044 eV/atom

=====

A plane-wave DFT calculation with PBE was carried out for a geometry-optimized Y2Hf2Cl structure.

a b c (Å): 3.946 3.946 18.444
angles (deg): 90.00 90.00 90.00
Space group I4/mmm (No. 139)
Inequivalent atoms, fractional coordinates:
Y  0.000  0.000  0.109 x4
Hf  0.000  0.500  0.250 x4
Cl  0.000  0.000  0.500 x2

## Properties
Magnetization ... 0.000 μB/f.u.
VASP energy ... -6.9312 eV/atom
Polymorph energy (0 for the lowest one) ... 0 meV/atom
ΔE_f (raw) ... 0.005 eV/atom

=====

A plane-wave DFT calculation with PBE was carried out for a geometry-optimized PmNdOsPt structure.

a b c (Å): 7.103 7.103 7.103
angles (deg): 90.00 90.00 90.00
Space group F-43m (No. 216)
Inequivalent atoms, fractional coordinates:
Pm  0.000  0.000  0.000 x4
Nd  0.000  0.000  0.500 x4
Os  0.250  0.250  0.750 x4
Pt  0.250  0.250  0.250 x4

## Properties
Magnetization ... 0.000 μB/f.u.
VASP energy ... -7.1353 eV/atom
Energy relative to the elements ... -0.438 eV per atom

=====

A plane-wave DFT calculation with PBE was carried out for a geometry-optimized Sc2HN structure.

a b c (Å): 3.2106 3.2106 16.2331
angles (deg): 90.00 90.00 120.00
Space group R3m (No. 160, hexagonal axes)
Inequivalent atoms, fractional coordinates:
Sc  0.0000  0.0000  0.0000 x3
Sc  0.0000  0.0000  0.1865 x3
H  0.0000  0.0000  0.4146 x3
N  0.0000  0.0000  0.5920 x3

## Properties
Magnetization ... 0.000 μB/f.u.
VASP energy ... -7.1690 eV/atom

=====

A plane-wave DFT calculation with PBE was carried out for a geometry-optimized NaLiF4 structure.

a b c (Å): 11.965 4.924 5.328
angles (deg): 90.00 114.90 90.00
Space group C2/c (No. 15)
Inequivalent atoms, fractional coordinates:
Na  0.000  0.247  0.250 x4
Li  0.250  0.250  0.000 x4
F  0.075  0.301  0.716 x8
F  0.209  0.132  0.333 x8

## Properties
Magnetization ... 2.031 μB/f.u.
VASP energy ... -3.6150 eV/atom
ΔE_f (raw) ... -1.829 eV/atom

=====

A plane-wave DFT calculation with PBE was carried out for a geometry-optimized AcY4Ho2Sc structure.

a b c (Å): 5.040 5.052 10.158
angles (deg): 90.00 90.00 90.00
Space group Pmmm (No. 47)
Inequivalent atoms, fractional coordinates:
Ac  0.000  0.000  0.000 x1
Y  0.000  0.500  0.263 x2
Y  0.500  0.000  0.263 x2
Ho  0.000  0.000  0.500 x1
Ho  0.500  0.500  0.000 x1
Sc  0.500  0.500  0.500 x1

## Properties
Magnetization ... 0.001 μB/f.u.
VASP energy ... -5.6215 eV/atom
Energy relative to the elements ... 0.060 eV per atom